(1)
Here is a geometry-optimized V3SbO structure from Alexandria. Energies are from PBE+U.

Summary:
Theoretical density ... 3375 kg/m³
Total DFT energy (no corrections) ... -4.68 eV/atom
Total moment ... 9.99 μB/f.u.

a b c (Å): 5.2292 5.2292 5.2292
angles (deg): 90.00 90.00 90.00
With the nearest neighbours (Å) after each atom.
Space group Pm-3m (No. 221)
Asymmetric unit:
V 0.0000 0.0000 0.5000 [3 per cell]  2 Sb 2.61
Sb 0.0000 0.0000 0.0000 [1 per cell]  6 V 2.61
O 0.5000 0.5000 0.5000 [1 per cell]  12 V 3.70

***

(2)
Here is a geometry-optimized ErCdWO6 structure from Alexandria. Energies are from PBE+U.

Summary:
Theoretical density ... 7367 kg/m³
Total DFT energy (no corrections) ... -6.73 eV/atom
Total moment ... 1.06 μB/f.u.

a b c (Å): 5.5793 5.5793 4.6783
angles (deg): 90.00 90.00 120.00
With the nearest neighbours (Å) after each atom.
Space group P312 (No. 149)
Asymmetric unit:
Er 0.0000 0.0000 0.0000 [1 per cell]  6 O 2.24
Cd 0.6667 0.3333 0.5000 [1 per cell]  6 O 2.37
W 0.3333 0.6667 0.0000 [1 per cell]  6 O 1.96
O 0.0413 0.3711 0.2279 [6 per cell]  1 W 1.96